#one
Density functional theory data (SCAN) for BeSiBr2 at its PBEsol-relaxed geometry.

Calculated values
**Space-group type**: P4/mmm, No. 123
**Magnetization**: 0.000 μB/cell
**DOS at the Fermi energy**: 1.94 states/eV/cell

a b c (Å): 3.332 4.742 4.743
angles (deg): 90.03 90.00 90.00
Fractional positions:
Be 0.500 0.500 0.500
Si 0.500 0.000 0.000
Br 0.000 0.000 0.500
Br 0.000 0.500 0.000

***

#two
Density functional theory data (SCAN) for BeSiBr2 at its PBEsol-relaxed geometry.

Calculated values
**Space-group type**: C2/m, No. 12
**Magnetization**: 0.000 μB/cell
**DOS at the Fermi energy**: 1.08 states/eV/cell

a b c (Å): 3.181 5.080 6.048
angles (deg): 105.55 105.24 90.00
Fractional positions:
Si 0.000 0.500 0.000
Br 0.856 0.826 0.712
Be 0.500 0.000 0.000
Br 0.144 0.174 0.288

***

#three
Density functional theory data (SCAN) for BeSiBr2 at its PBEsol-relaxed geometry.

Calculated values
**Space-group type**: Cmm2, No. 35
**Magnetization**: 0.000 μB/cell
**DOS at the Fermi energy**: 0.64 states/eV/cell

a b c (Å): 3.265 3.558 8.617
angles (deg): 90.00 90.00 117.31
Fractional positions:
Br 0.500 0.000 0.316
Br 0.000 0.000 0.906
Si 0.000 0.000 0.541
Be 0.500 0.000 0.737

***

Which structure is the least stable? The one labeled #one.

***

#one
Density functional theory data (SCAN) for Ta2BeBr at its PBEsol-relaxed geometry.

Calculated values
**Space-group type**: I-4m2, No. 119
**Magnetization**: 0.000 μB/cell
**DOS at the Fermi energy**: 3.97 states/eV/cell

a b c (Å): 3.829 3.829 5.112
angles (deg): 111.99 111.99 90.00
Fractional positions:
Ta 0.000 0.000 0.000
Be 0.500 0.500 0.000
Ta 0.750 0.250 0.500
Br 0.250 0.750 0.500

***

#two
Density functional theory data (SCAN) for Ta2BeBr at its PBEsol-relaxed geometry.

Calculated values
**Space-group type**: Imm2, No. 44
**Magnetization**: 0.000 μB/cell
**DOS at the Fermi energy**: 3.08 states/eV/cell

a b c (Å): 2.971 4.603 5.453
angles (deg): 114.97 105.81 90.00
Fractional positions:
Be 0.493 0.493 0.986
Ta 0.982 0.982 0.965
Br 0.256 0.756 0.512
Ta 0.769 0.269 0.538

***

Which structure is the least stable? The one labeled #one.

***

#one
Density functional theory data (SCAN) for TaBe2Br at its PBEsol-relaxed geometry.

Calculated values
**Space-group type**: I-42d, No. 122
**Magnetization**: 0.000 μB/cell
**DOS at the Fermi energy**: 4.09 states/eV/cell

a b c (Å): 5.280 5.353 5.353
angles (deg): 75.92 60.45 60.45
Fractional positions:
Br 0.500 0.000 0.000
Be 0.603 0.022 0.522
Be 0.875 0.522 0.978
Be 0.147 0.978 0.478
Ta 0.000 0.000 0.000
Br 0.250 0.500 0.500
Ta 0.750 0.500 0.500
Be 0.375 0.478 0.022

***

#two
Density functional theory data (SCAN) for TaBe2Br at its PBEsol-relaxed geometry.

Calculated values
**Space-group type**: Amm2, No. 38
**Magnetization**: 0.009 μB/cell
**DOS at the Fermi energy**: 2.11 states/eV/cell

a b c (Å): 2.951 3.570 6.100
angles (deg): 90.00 104.00 90.00
Fractional positions:
Be 0.961 0.500 0.923
Be 0.057 0.000 0.113
Br 0.815 0.000 0.630
Ta 0.633 0.500 0.266

***

Which structure is the least stable? The one labeled #one.

***

#one
Density functional theory data (SCAN) for TaBeBr2 at its PBEsol-relaxed geometry.

Calculated values
**Space-group type**: Cmmm, No. 65
**Magnetization**: 0.000 μB/cell
**DOS at the Fermi energy**: 1.95 states/eV/cell

a b c (Å): 3.039 3.249 9.752
angles (deg): 90.00 90.00 117.88
Fractional positions:
Be 0.500 0.000 0.000
Br 0.000 0.000 0.718
Br 0.000 0.000 0.282
Ta 0.500 0.000 0.500

***

#two
Density functional theory data (SCAN) for TaBeBr2 at its PBEsol-relaxed geometry.

Calculated values
**Space-group type**: I-4m2, No. 119
**Magnetization**: 1.162 μB/cell
**DOS at the Fermi energy**: 2.43 states/eV/cell

a b c (Å): 3.690 3.690 5.954
angles (deg): 108.05 108.05 90.00
Last column: magnetic moment on the atom in μB.
Fractional positions:
Br 0.750 0.250 0.500  0.02
Ta 0.500 0.500 0.000  0.92
Br 0.000 0.000 0.000  0.00
Be 0.250 0.750 0.500  -0.07

***

Which structure is the least stable? The one labeled #two.

***

#one
Density functional theory data (SCAN) for TaBeBr2 at its PBEsol-relaxed geometry.

Calculated values
**Space-group type**: Imm2, No. 44
**Magnetization**: 0.974 μB/cell
**DOS at the Fermi energy**: 1.41 states/eV/cell

a b c (Å): 3.091 4.665 6.652
angles (deg): 110.53 103.43 90.00
Last column: magnetic moment on the atom in μB.
Fractional positions:
Be 0.845 0.345 0.690  -0.01
Br 0.181 0.681 0.362  0.00
Ta 0.506 0.506 0.012  0.65
Br 0.968 0.968 0.936  -0.01

***

#two
Density functional theory data (SCAN) for TaBeBr2 at its PBEsol-relaxed geometry.

Calculated values
**Space-group type**: I-42d, No. 122
**Magnetization**: 2.024 μB/cell
**DOS at the Fermi energy**: 1.96 states/eV/cell

a b c (Å): 5.697 6.302 5.697
angles (deg): 63.13 90.00 116.87
Last column: magnetic moment on the atom in μB.
Fractional positions:
Br 0.565 0.750 0.375  0.01
Br 0.185 0.750 0.875  0.01
Br 0.875 0.250 0.565  0.01
Ta 0.000 0.000 0.000  0.57
Be 0.500 0.000 0.500  0.03
Be 0.250 0.500 0.250  0.03
Ta 0.750 0.500 0.750  0.57
Br 0.375 0.250 0.185  0.01

***

Which structure is the least stable? The one labeled #two.

***

#one
Density functional theory data (SCAN) for BeTcBr2 at its PBEsol-relaxed geometry.

Calculated values
**Space-group type**: F-43m, No. 216
**Magnetization**: 3.286 μB/cell
**DOS at the Fermi energy**: 3.55 states/eV/cell

a b c (Å): 4.695 4.695 4.695
angles (deg): 60.00 60.00 60.00
Last column: magnetic moment on the atom in μB.
Fractional positions:
Be 0.500 0.500 0.500  -0.07
Br 0.000 0.000 0.000  0.10
Br 0.750 0.750 0.750  0.13
Tc 0.250 0.250 0.250  2.96

***

#two
Density functional theory data (SCAN) for BeTcBr2 at its PBEsol-relaxed geometry.

Calculated values
**Space-group type**: P4/mmm, No. 123
**Magnetization**: 0.000 μB/cell
**DOS at the Fermi energy**: 2.21 states/eV/cell

a b c (Å): 3.086 4.482 4.482
angles (deg): 90.00 90.00 90.00
Fractional positions:
Br 0.000 0.500 0.000
Tc 0.500 0.500 0.500
Be 0.500 0.000 0.000
Br 0.000 0.000 0.500

***

#three
Density functional theory data (SCAN) for BeTcBr2 at its PBEsol-relaxed geometry.

Calculated values
**Space-group type**: Cm, No. 8
**Magnetization**: 0.000 μB/cell
**DOS at the Fermi energy**: 1.13 states/eV/cell

a b c (Å): 3.186 3.526 7.656
angles (deg): 96.06 90.00 116.86
Fractional positions:
Br 0.346 0.692 0.352
Tc 0.448 0.895 0.686
Br 0.986 0.973 0.935
Be 0.720 0.440 0.527

***

#four
Density functional theory data (SCAN) for BeTcBr2 at its PBEsol-relaxed geometry.

Calculated values
**Space-group type**: Fm-3m, No. 225
**Magnetization**: 0.002 μB/cell
**DOS at the Fermi energy**: 2.96 states/eV/cell

a b c (Å): 4.450 4.450 4.450
angles (deg): 60.00 60.00 60.00
Fractional positions:
Be 0.500 0.500 0.500
Br 0.750 0.750 0.750
Tc 0.000 0.000 0.000
Br 0.250 0.250 0.250

***

Which structure is the least stable? The one labeled #one.

***

#one
Density functional theory data (SCAN) for Be2TcBr at its PBEsol-relaxed geometry.

Calculated values
**Space-group type**: C2/m, No. 12
**Magnetization**: 0.687 μB/cell
**DOS at the Fermi energy**: 1.67 states/eV/cell

a b c (Å): 3.170 4.260 4.633
angles (deg): 90.68 90.00 111.84
Last column: magnetic moment on the atom in μB.
Fractional positions:
Br 0.000 0.000 0.000  -0.01
Be 0.797 0.593 0.618  0.00
Be 0.203 0.407 0.382  0.00
Tc 0.500 0.000 0.500  0.63

***

#two
Density functional theory data (SCAN) for Be2TcBr at its PBEsol-relaxed geometry.

Calculated values
**Space-group type**: Cm, No. 8
**Magnetization**: 0.001 μB/cell
**DOS at the Fermi energy**: 2.77 states/eV/cell

a b c (Å): 3.419 3.422 5.639
angles (deg): 90.21 90.00 119.97
Fractional positions:
Tc 0.709 0.417 0.148
Be 0.374 0.748 0.903
Br 0.376 0.752 0.499
Be 0.041 0.082 0.951

***

Which structure is the least stable? The one labeled #one.

***

#one
Density functional theory data (SCAN) for BeTc2Br at its PBEsol-relaxed geometry.

Calculated values
**Space-group type**: Cmm2, No. 35
**Magnetization**: 0.000 μB/cell
**DOS at the Fermi energy**: 3.15 states/eV/cell

a b c (Å): 2.834 2.834 8.130
angles (deg): 90.00 90.00 116.72
Fractional positions:
Tc 0.000 0.000 0.978
Br 0.500 0.500 0.286
Tc 0.500 0.500 0.731
Be 0.000 0.000 0.505

***

#two
Density functional theory data (SCAN) for BeTc2Br at its PBEsol-relaxed geometry.

Calculated values
**Space-group type**: Fm-3m, No. 225
**Magnetization**: 0.000 μB/cell
**DOS at the Fermi energy**: 3.05 states/eV/cell

a b c (Å): 4.172 4.172 4.172
angles (deg): 60.00 60.00 60.00
Fractional positions:
Br 0.000 0.000 0.000
Tc 0.250 0.250 0.250
Be 0.500 0.500 0.500
Tc 0.750 0.750 0.750

***

#three
Density functional theory data (SCAN) for BeTc2Br at its PBEsol-relaxed geometry.

Calculated values
**Space-group type**: Pmmm, No. 47
**Magnetization**: 0.000 μB/cell
**DOS at the Fermi energy**: 3.47 states/eV/cell

a b c (Å): 2.836 4.330 4.613
angles (deg): 90.00 90.00 90.00
Fractional positions:
Tc 0.500 0.000 0.500
Be 0.500 0.500 0.000
Br 0.000 0.500 0.500
Tc 0.000 0.000 0.000

***

Which structure is the least stable? The one labeled #three.

***

#one
Density functional theory data (SCAN) for BeTcBr at its PBEsol-relaxed geometry.

Calculated values
**Space-group type**: F-43m, No. 216
**Magnetization**: 2.006 μB/cell
**DOS at the Fermi energy**: 1.02 states/eV/cell

a b c (Å): 4.086 4.086 4.086
angles (deg): 60.00 60.00 60.00
Last column: magnetic moment on the atom in μB.
Fractional positions:
Be 0.500 0.500 0.500  0.00
Tc 0.000 0.000 0.000  1.86
Br 0.250 0.250 0.250  0.01

***

#two
Density functional theory data (SCAN) for BeTcBr at its PBEsol-relaxed geometry.

Calculated values
**Space-group type**: I4mm, No. 107
**Magnetization**: 0.001 μB/cell
**DOS at the Fermi energy**: 0.76 states/eV/cell

a b c (Å): 2.942 2.942 6.122
angles (deg): 103.91 103.91 90.00
Fractional positions:
Tc 0.346 0.346 0.692
Be 0.949 0.949 0.899
Br 0.704 0.704 0.409

***

#three
Density functional theory data (SCAN) for BeTcBr at its PBEsol-relaxed geometry.

Calculated values
**Space-group type**: F-43m, No. 216
**Magnetization**: 0.010 μB/cell
**DOS at the Fermi energy**: 3.26 states/eV/cell

a b c (Å): 4.065 4.065 4.065
angles (deg): 60.00 60.00 60.00
Fractional positions:
Br 0.500 0.500 0.500
Be 0.000 0.000 0.000
Tc 0.250 0.250 0.250

***

Which structure is the least stable? The one labeled #one.

***

#one
Density functional theory data (SCAN) for BeTl2Br at its PBEsol-relaxed geometry.

Calculated values
**Space-group type**: P4mm, No. 99
**Magnetization**: 0.000 μB/cell
**DOS at the Fermi energy**: 1.38 states/eV/cell

a b c (Å): 3.726 3.726 7.466
angles (deg): 90.00 90.00 90.00
Fractional positions:
Tl 0.500 0.500 0.370
Br 0.500 0.500 0.778
Tl 0.000 0.000 0.001
Be 0.000 0.000 0.351

***

#two
Density functional theory data (SCAN) for BeTl2Br at its PBEsol-relaxed geometry.

Calculated values
**Space-group type**: Fm-3m, No. 225
**Magnetization**: 0.001 μB/cell
**DOS at the Fermi energy**: 3.07 states/eV/cell

a b c (Å): 5.252 5.252 5.252
angles (deg): 60.00 60.00 60.00
Fractional positions:
Be 0.000 0.000 0.000
Br 0.500 0.500 0.500
Tl 0.750 0.750 0.750
Tl 0.250 0.250 0.250

***

Which structure is the least stable? The one labeled #two.

***

#one
Density functional theory data (SCAN) for BeTl2Br at its PBEsol-relaxed geometry.

Calculated values
**Space-group type**: Cmmm, No. 65
**Magnetization**: 0.000 μB/cell
**DOS at the Fermi energy**: 1.58 states/eV/cell

a b c (Å): 3.548 3.548 7.565
angles (deg): 90.00 90.00 93.60
Fractional positions:
Br 0.500 0.500 0.000
Be 0.500 0.500 0.500
Tl 0.000 0.000 0.714
Tl 0.000 0.000 0.286

***

#two
Density functional theory data (SCAN) for BeTl2Br at its PBEsol-relaxed geometry.

Calculated values
**Space-group type**: I-4m2, No. 119
**Magnetization**: 0.000 μB/cell
**DOS at the Fermi energy**: 1.34 states/eV/cell

a b c (Å): 4.322 4.322 6.326
angles (deg): 109.97 109.97 90.00
Fractional positions:
Tl 0.000 0.000 0.000
Br 0.250 0.750 0.500
Be 0.500 0.500 0.000
Tl 0.750 0.250 0.500

***

Which structure is the least stable? The one labeled #two.

***

#one
Density functional theory data (SCAN) for BeW2Br at its PBEsol-relaxed geometry.

Calculated values
**Space-group type**: Immm, No. 71
**Magnetization**: 0.000 μB/cell
**DOS at the Fermi energy**: 2.86 states/eV/cell

a b c (Å): 2.964 4.601 5.200
angles (deg): 116.26 106.56 90.00
Fractional positions:
W 0.769 0.769 0.538
W 0.231 0.231 0.462
Br 0.000 0.500 0.000
Be 0.500 0.000 0.000

***

#two
Density functional theory data (SCAN) for BeW2Br at its PBEsol-relaxed geometry.

Calculated values
**Space-group type**: Pmmm, No. 47
**Magnetization**: 0.000 μB/cell
**DOS at the Fermi energy**: 2.95 states/eV/cell

a b c (Å): 2.939 4.518 4.616
angles (deg): 90.00 90.00 90.00
Fractional positions:
Be 0.500 0.500 0.000
Br 0.000 0.500 0.500
W 0.500 0.000 0.500
W 0.000 0.000 0.000

***

Which structure is the least stable? The one labeled #two.